Entry 1:
This record from Alexandria via LeMat-Bulk describes an optimized crystal structure of Dy2Y6Er3In. The functional is PBE-GGA.

CIF file:
```
data_Dy2Y6Er3In
_chemical_formula_sum 'Dy2 Y6 Er3 In1'
_cell_length_a 6.093
_cell_length_b 6.093
_cell_length_c 11.635
_cell_angle_alpha 95.03
_cell_angle_beta 95.03
_cell_angle_gamma 120.04
_symmetry_space_group_name_H-M 'P 1'
_symmetry_Int_Tables_number 1
loop_
_symmetry_equiv_pos_as_xyz
'x,y,z'
loop_
_atom_site_label
_atom_site_type_symbol
_atom_site_fract_x
_atom_site_fract_y
_atom_site_fract_z
_atom_site_occupancy
Dy1 Dy 0.334 0.666 0.000 1
Dy2 Dy 0.666 0.334 0.000 1
Y1 Y 0.918 0.590 0.753 1
Y2 Y 0.754 0.754 0.249 1
Y3 Y 0.082 0.410 0.247 1
Y4 Y 0.590 0.918 0.753 1
Y5 Y 0.246 0.246 0.751 1
Y6 Y 0.410 0.082 0.247 1
Er1 Er 0.166 0.834 0.500 1
Er2 Er 0.834 0.166 0.500 1
Er3 Er 0.500 0.500 0.500 1
In1 In 0.000 0.000 0.000 1
```

Output
Total energy: -64.9 eV per cell
Space group: C2/m
ΔE_f: -39 meV per atom

Entry 2:
This record from Alexandria via LeMat-Bulk describes an optimized crystal structure of ThZn9Ag2. The functional is PBE-GGA.

CIF file:
```
data_ThZn9Ag2
_chemical_formula_sum 'Th1 Zn9 Ag2'
_cell_length_a 3.143
_cell_length_b 8.819
_cell_length_c 8.819
_cell_angle_alpha 120.00
_cell_angle_beta 90.00
_cell_angle_gamma 90.00
_symmetry_space_group_name_H-M 'P 1'
_symmetry_Int_Tables_number 1
loop_
_symmetry_equiv_pos_as_xyz
'x,y,z'
loop_
_atom_site_label
_atom_site_type_symbol
_atom_site_fract_x
_atom_site_fract_y
_atom_site_fract_z
_atom_site_occupancy
Th1 Th 0.000 0.000 0.000 1
Zn1 Zn 0.500 0.817 0.183 1
Zn2 Zn 0.000 0.000 0.500 1
Zn3 Zn 0.000 0.500 0.500 1
Zn4 Zn 0.500 0.817 0.633 1
Zn5 Zn 0.500 0.183 0.817 1
Zn6 Zn 0.500 0.633 0.817 1
Zn7 Zn 0.500 0.183 0.367 1
Zn8 Zn 0.000 0.500 0.000 1
Zn9 Zn 0.500 0.367 0.183 1
Ag1 Ag 0.000 0.667 0.333 1
Ag2 Ag 0.000 0.333 0.667 1
```

Output
Total energy: -25.1 eV per cell
Space group: P6/mmm
ΔE_f: -45 meV per atom

Entry 3:
This record from Alexandria via LeMat-Bulk describes an optimized crystal structure of KGaPt3. The functional is PBE-GGA.

CIF file:
```
data_KGaPt3
_chemical_formula_sum 'K1 Ga1 Pt3'
_cell_length_a 5.002
_cell_length_b 5.002
_cell_length_c 5.002
_cell_angle_alpha 90.00
_cell_angle_beta 90.00
_cell_angle_gamma 90.00
_symmetry_space_group_name_H-M 'P 1'
_symmetry_Int_Tables_number 1
loop_
_symmetry_equiv_pos_as_xyz
'x,y,z'
loop_
_atom_site_label
_atom_site_type_symbol
_atom_site_fract_x
_atom_site_fract_y
_atom_site_fract_z
_atom_site_occupancy
K1 K 0.000 0.000 0.000 1
Ga1 Ga 0.500 0.500 0.500 1
Pt1 Pt 0.000 0.500 0.000 1
Pt2 Pt 0.000 0.000 0.500 1
Pt3 Pt 0.500 0.000 0.000 1
```

Output
Total energy: -12.9 eV per cell
Space group: Pm-3m
ΔE_f: 1861 meV per atom

Entry 4:
This record from Alexandria via LeMat-Bulk describes an optimized crystal structure of Pm3Cd2C. The functional is PBE-GGA.

CIF file:
```
data_Pm3Cd2C
_chemical_formula_sum 'Pm6 Cd4 C2'
_cell_length_a 5.200
_cell_length_b 7.214
_cell_length_c 8.459
_cell_angle_alpha 90.00
_cell_angle_beta 72.10
_cell_angle_gamma 90.00
_symmetry_space_group_name_H-M 'P 1'
_symmetry_Int_Tables_number 1
loop_
_symmetry_equiv_pos_as_xyz
'x,y,z'
loop_
_atom_site_label
_atom_site_type_symbol
_atom_site_fract_x
_atom_site_fract_y
_atom_site_fract_z
_atom_site_occupancy
Pm1 Pm 0.500 0.250 0.000 1
Pm2 Pm 0.500 0.750 0.000 1
Pm3 Pm 0.111 0.000 0.777 1
Pm4 Pm 0.889 0.500 0.223 1
Pm5 Pm 0.111 0.500 0.777 1
Pm6 Pm 0.889 0.000 0.223 1
Cd1 Cd 0.702 0.750 0.596 1
Cd2 Cd 0.702 0.250 0.596 1
Cd3 Cd 0.298 0.750 0.404 1
Cd4 Cd 0.298 0.250 0.404 1
C1 C 0.000 0.750 0.000 1
C2 C 0.000 0.250 0.000 1
```

Output
Total energy: -53.6 eV per cell
Space group: Cmmm
ΔE_f: -251 meV per atom

Entry 5:
This record from Alexandria via LeMat-Bulk describes an optimized crystal structure of KBSb2Te. The functional is PBE-GGA.

CIF file:
```
data_KBSb2Te
_chemical_formula_sum 'K1 B1 Sb2 Te1'
_cell_length_a 5.892
_cell_length_b 5.892
_cell_length_c 5.947
_cell_angle_alpha 90.00
_cell_angle_beta 90.00
_cell_angle_gamma 90.00
_symmetry_space_group_name_H-M 'P 1'
_symmetry_Int_Tables_number 1
loop_
_symmetry_equiv_pos_as_xyz
'x,y,z'
loop_
_atom_site_label
_atom_site_type_symbol
_atom_site_fract_x
_atom_site_fract_y
_atom_site_fract_z
_atom_site_occupancy
Sb1 Sb 0.000 0.500 0.000 1
Sb2 Sb 0.500 0.000 0.000 1
K1 K 0.000 0.000 0.000 1
Te1 Te 0.000 0.000 0.500 1
B1 B 0.500 0.500 0.500 1
```

Output
Total energy: -9.1 eV per cell
Space group: P4/mmm
Uncorrected formation energy: 2.011 eV/atom

Entry 6:
This record from Alexandria via LeMat-Bulk describes an optimized crystal structure of BaZn2Ga4. The functional is PBE-GGA.

CIF file:
```
data_BaZn2Ga4
_chemical_formula_sum 'Ba1 Zn2 Ga4'
_cell_length_a 4.841
_cell_length_b 6.212
_cell_length_c 6.212
_cell_angle_alpha 66.09
_cell_angle_beta 67.89
_cell_angle_gamma 67.89
_symmetry_space_group_name_H-M 'P 1'
_symmetry_Int_Tables_number 1
loop_
_symmetry_equiv_pos_as_xyz
'x,y,z'
loop_
_atom_site_label
_atom_site_type_symbol
_atom_site_fract_x
_atom_site_fract_y
_atom_site_fract_z
_atom_site_occupancy
Ba1 Ba 0.000 0.000 0.000 1
Zn1 Zn 0.796 0.451 0.451 1
Zn2 Zn 0.204 0.549 0.549 1
Ga1 Ga 0.701 0.599 0.990 1
Ga2 Ga 0.299 0.401 0.010 1
Ga3 Ga 0.701 0.990 0.599 1
Ga4 Ga 0.299 0.010 0.401 1
```

Output
Total energy: -17.8 eV per cell
Space group: C2/m
ΔE_f: -179 meV per atom

The highest total energy belongs to which entry? KBSb2Te

Look up the total energy of the third one. -12.9 eV per cell